Entry 1:
The following is a DFT calculation (PBE) of a relaxed Ti3RuBr crystal.

extended XYZ file:
```
5
Lattice="4.7757 0.0000 0.0000 0.0000 4.7757 0.0000 0.0000 0.0000 4.7757" Properties=species:S:1:pos:R:3 pbc="T T T"
Ti 0.0000 0.0000 2.3879
Ti 0.0000 2.3879 0.0000
Ti 2.3879 0.0000 0.0000
Ru 0.0000 0.0000 0.0000
Br 2.3879 2.3879 2.3879
```

Computed properties:
As for the total energy: -6.5311 eV/atom. As for the formation energy from raw total energies: 0.396 eV per atom. The total magnetic moment is 0.71 μB per formula unit. As for the energy relative to the lowest polymorph listed for this composition: 0 meV per atom.

---

Entry 2:
The following is a DFT calculation (PBE) of a relaxed Rb3Y2TlO6 crystal.

extended XYZ file:
```
12
Lattice="3.0492 -5.2812 0.0000 3.0492 5.2812 0.0000 -2.0264 0.0000 6.5697" Properties=species:S:1:pos:R:3 pbc="T T T"
Rb 0.0000 0.0000 0.0000
Rb 3.0492 1.7295 0.0000
Rb 3.0492 -1.7295 0.0000
Y 2.0360 3.5181 3.2849
Y 2.0360 -3.5181 3.2849
Tl 2.0360 0.0000 3.2849
O 0.9919 1.8073 2.0906
O -0.0484 0.0000 4.4748
O 0.9919 -1.8073 2.0906
O 3.0801 1.8073 4.4791
O 4.1204 0.0000 2.0950
O 3.0801 -1.8073 4.4791
```

Computed properties:
As for the total energy: -6.0848 eV/atom. As for the formation energy from raw total energies: -2.089 eV per atom. The total magnetic moment is 0.00 μB per formula unit.

---

Entry 3:
The following is a DFT calculation (PBE) of a relaxed Pr3H2Se3 crystal.

extended XYZ file:
```
16
Lattice="2.0182 -5.5210 0.0000 2.0182 5.5210 0.0000 0.0000 0.0000 15.0266" Properties=species:S:1:pos:R:3 pbc="T T T"
Pr 2.0182 3.9979 8.4323
Pr 2.0182 3.9979 14.1075
Pr 2.0182 3.7579 3.7566
Pr 2.0182 -3.7579 11.2699
Pr 2.0182 -3.9979 0.9190
Pr 2.0182 -3.9979 6.5942
H 2.0182 2.5705 1.4244
H 2.0182 2.5705 6.0889
H 2.0182 -2.5705 8.9377
H 2.0182 -2.5705 13.6022
Se 2.0182 4.0226 11.2699
Se 2.0182 0.8656 8.9956
Se 2.0182 0.8656 13.5443
Se 2.0182 -0.8656 1.4823
Se 2.0182 -0.8656 6.0310
Se 2.0182 -4.0226 3.7566
```

Computed properties:
As for the total energy: -5.3314 eV/atom. The total magnetic moment is 0.00 μB per formula unit.

---

Entry 4:
The following is a DFT calculation (PBE) of a relaxed PmMg3In crystal.

extended XYZ file:
```
10
Lattice="2.5228 -14.2464 0.0000 2.5228 14.2464 0.0000 0.0000 0.0000 3.7160" Properties=species:S:1:pos:R:3 pbc="T T T"
Pm 2.5228 9.5365 0.0000
Pm 2.5228 -9.5365 0.0000
Mg 2.5228 12.5787 1.8580
Mg 2.5228 6.4928 1.8580
Mg 2.5228 1.4251 0.0000
Mg 2.5228 -1.4251 0.0000
Mg 2.5228 -6.4928 1.8580
Mg 2.5228 -12.5787 1.8580
In 2.5228 3.6522 1.8580
In 2.5228 -3.6522 1.8580
```

Computed properties:
As for the total energy: -2.5476 eV/atom. The total magnetic moment is 0.00 μB per formula unit. The energy of formation from the pure elements comes out at -0.093 eV/atom.

---

Entry 5:
The following is a DFT calculation (PBE) of a relaxed Nd3SmTm4 crystal.

extended XYZ file:
```
16
Lattice="3.4515 0.0000 0.0000 0.0000 11.6537 0.0000 0.0000 0.0000 13.0766" Properties=species:S:1:pos:R:3 pbc="T T T"
Nd 0.0000 0.0000 0.0000
Nd 0.0000 5.8268 3.1810
Nd 0.0000 5.8268 9.8956
Nd 1.7257 0.0000 3.3573
Nd 1.7257 0.0000 9.7193
Nd 1.7257 5.8268 6.5383
Sm 0.0000 0.0000 6.5383
Sm 1.7257 5.8268 0.0000
Tm 0.0000 2.8801 4.7710
Tm 0.0000 2.8801 8.3057
Tm 0.0000 8.7736 4.7710
Tm 0.0000 8.7736 8.3057
Tm 1.7257 2.9468 1.7673
Tm 1.7257 2.9468 11.3093
Tm 1.7257 8.7069 1.7673
Tm 1.7257 8.7069 11.3093
```

Computed properties:
As for the total energy: -4.4713 eV/atom. The total magnetic moment is 0.00 μB per formula unit. The energy of formation from the pure elements comes out at 0.142 eV/atom. As for the energy relative to the lowest polymorph listed for this composition: 116 meV per atom.

---

Entry 6:
The following is a DFT calculation (PBE) of a relaxed LaTeI2N crystal.

extended XYZ file:
```
5
Lattice="6.3341 0.0000 0.0000 0.0000 6.3341 0.0000 0.0000 0.0000 6.3295" Properties=species:S:1:pos:R:3 pbc="T T T"
La 0.0000 0.0000 0.0000
Te 0.0000 0.0000 3.1648
I 0.0000 3.1671 0.0000
I 3.1671 0.0000 0.0000
N 3.1671 3.1671 3.1648
```

Computed properties:
As for the total energy: -3.6482 eV/atom. As for the formation energy from raw total energies: 0.251 eV per atom. The total magnetic moment is 4.02 μB per formula unit. As for the energy relative to the lowest polymorph listed for this composition: 302 meV per atom.